Record 1
# FeBO2F | the Alexandria database | PBE with a Hubbard U | optimized geometry
# VASP energy (eV for the cell shown): -24.59
# Symmetry: P4/mmm
data_FeBO2F
_cell_length_a 3.7723
_cell_length_b 3.7723
_cell_length_c 4.0448
_cell_angle_alpha 90.00
_cell_angle_beta 90.00
_cell_angle_gamma 90.00
_space_group_name_H-M_alt 'P 1'
_space_group_IT_number 1
loop_
_space_group_symop_operation_xyz
'x,y,z'
loop_
_atom_site_label
_atom_site_type_symbol
_atom_site_fract_x
_atom_site_fract_y
_atom_site_fract_z
Fe1 Fe 0.0000 0.0000 0.0000
B1 B 0.5000 0.5000 0.5000
O1 O 0.0000 0.5000 0.0000
O2 O 0.5000 0.0000 0.0000
F1 F 0.0000 0.0000 0.5000

Record 2
# NaAs2WO8 | the Alexandria database | PBE with a Hubbard U | optimized geometry
# VASP energy (eV for the cell shown): -73.11
# Symmetry: I-4m2
data_NaAs2WO8
_cell_length_a 5.7589
_cell_length_b 5.7589
_cell_length_c 5.7589
_cell_angle_alpha 106.53
_cell_angle_beta 106.53
_cell_angle_gamma 115.53
_space_group_name_H-M_alt 'P 1'
_space_group_IT_number 1
loop_
_space_group_symop_operation_xyz
'x,y,z'
loop_
_atom_site_label
_atom_site_type_symbol
_atom_site_fract_x
_atom_site_fract_y
_atom_site_fract_z
Na1 Na 0.0000 0.0000 0.0000
As1 As 0.5000 0.5000 0.0000
As2 As 0.7500 0.2500 0.5000
W1 W 0.2500 0.7500 0.5000
O1 O 0.3239 0.1086 0.7847
O2 O 0.3239 0.5391 0.2153
O3 O 0.3743 0.0516 0.3228
O4 O 0.4609 0.6761 0.7847
O5 O 0.7288 0.0516 0.6772
O6 O 0.8914 0.6761 0.2153
O7 O 0.9484 0.2712 0.3228
O8 O 0.9484 0.6257 0.6772